## 1
DFT (PBE) results for a relaxed RbCoMo crystal.

Summary:
magnetic moment: 1.43 Bohr magnetons per cell

a b c (Å): 4.583 4.583 4.583
angles (deg): 60.00 60.00 60.00
Element x y z (fractional)
1 Co 0.000 0.000 0.000
2 Mo 0.250 0.250 0.250
3 Rb 0.750 0.750 0.750



## 2
DFT (PBE) results for a relaxed RbCoMo crystal.

Summary:
magnetic moment: 5.90 Bohr magnetons per cell

a b c (Å): 4.920 4.920 4.920
angles (deg): 60.00 60.00 60.00
Element x y z (fractional)
1 Co 0.250 0.250 0.250
2 Mo 0.750 0.750 0.750
3 Rb 0.000 0.000 0.000



Structures ranked by computed energy, the most stable listed first: 1, 2.



## 1
DFT (PBE) results for a relaxed YCoSiMo crystal.

Summary:
magnetic moment: 0.02 Bohr magnetons per cell

a b c (Å): 4.450 4.450 4.450
angles (deg): 60.00 60.00 60.00
Element x y z (fractional)
1 Co 0.750 0.750 0.750
2 Mo 0.250 0.250 0.250
3 Si 0.000 0.000 0.000
4 Y 0.500 0.500 0.500



## 2
DFT (PBE) results for a relaxed YCoSiMo crystal.

Summary:
magnetic moment: 3.64 Bohr magnetons per cell

a b c (Å): 4.567 4.567 4.567
angles (deg): 60.00 60.00 60.00
Element x y z (fractional)
1 Co 0.750 0.750 0.750
2 Mo 0.500 0.500 0.500
3 Si 0.000 0.000 0.000
4 Y 0.250 0.250 0.250



Structures ranked by computed energy, the most stable listed first: 1, 2.



## 1
DFT (PBE) results for a relaxed ZnCoSiMo crystal.

Summary:
magnetic moment: 1.91 Bohr magnetons per cell

a b c (Å): 4.208 4.208 4.208
angles (deg): 60.00 60.00 60.00
Element x y z (fractional)
1 Co 0.750 0.750 0.750
2 Mo 0.500 0.500 0.500
3 Si 0.000 0.000 0.000
4 Zn 0.250 0.250 0.250



## 2
DFT (PBE) results for a relaxed ZnCoSiMo crystal.

Summary:
magnetic moment: 0.41 Bohr magnetons per cell

a b c (Å): 4.180 4.180 4.180
angles (deg): 60.00 60.00 60.00
Element x y z (fractional)
1 Co 0.750 0.750 0.750
2 Mo 0.250 0.250 0.250
3 Si 0.000 0.000 0.000
4 Zn 0.500 0.500 0.500



Structures ranked by computed energy, the most stable listed first: 2, 1.



## 1
DFT (PBE) results for a relaxed YCoSnMo crystal.

Summary:
magnetic moment: 3.93 Bohr magnetons per cell

a b c (Å): 4.765 4.765 4.765
angles (deg): 60.00 60.00 60.00
Element x y z (fractional)
1 Co 0.750 0.750 0.750
2 Mo 0.500 0.500 0.500
3 Sn 0.000 0.000 0.000
4 Y 0.250 0.250 0.250



## 2
DFT (PBE) results for a relaxed YCoSnMo crystal.

Summary:
magnetic moment: 1.94 Bohr magnetons per cell

a b c (Å): 4.701 4.701 4.701
angles (deg): 60.00 60.00 60.00
Element x y z (fractional)
1 Co 0.750 0.750 0.750
2 Mo 0.250 0.250 0.250
3 Sn 0.000 0.000 0.000
4 Y 0.500 0.500 0.500



Structures ranked by computed energy, the most stable listed first: 2, 1.



## 1
DFT (PBE) results for a relaxed YTlCoMo crystal.

Summary:
magnetic moment: 2.99 Bohr magnetons per cell

a b c (Å): 4.782 4.782 4.782
angles (deg): 60.00 60.00 60.00
Element x y z (fractional)
1 Co 0.750 0.750 0.750
2 Mo 0.500 0.500 0.500
3 Tl 0.000 0.000 0.000
4 Y 0.250 0.250 0.250



## 2
DFT (PBE) results for a relaxed YTlCoMo crystal.

Summary:
magnetic moment: 2.93 Bohr magnetons per cell

a b c (Å): 4.732 4.732 4.732
angles (deg): 60.00 60.00 60.00
Element x y z (fractional)
1 Co 0.750 0.750 0.750
2 Mo 0.250 0.250 0.250
3 Tl 0.000 0.000 0.000
4 Y 0.500 0.500 0.500



Structures ranked by computed energy, the most stable listed first: 2, 1.



## 1
DFT (PBE) results for a relaxed TlZnCoMo crystal.

Summary:
magnetic moment: 2.52 Bohr magnetons per cell

a b c (Å): 4.493 4.493 4.493
angles (deg): 60.00 60.00 60.00
Element x y z (fractional)
1 Co 0.750 0.750 0.750
2 Mo 0.250 0.250 0.250
3 Tl 0.000 0.000 0.000
4 Zn 0.500 0.500 0.500



## 2
DFT (PBE) results for a relaxed TlZnCoMo crystal.

Summary:
magnetic moment: 2.03 Bohr magnetons per cell

a b c (Å): 4.473 4.473 4.473
angles (deg): 60.00 60.00 60.00
Element x y z (fractional)
1 Co 0.750 0.750 0.750
2 Mo 0.500 0.500 0.500
3 Tl 0.000 0.000 0.000
4 Zn 0.250 0.250 0.250



Structures ranked by computed energy, the most stable listed first: 2, 1.